Cs2LiPCl6 | PBE | relaxed

It has space group I4/mmm (No. 139), with a = 7.292 Å, b = 7.292 Å, c = 10.327 Å, α = 90.00°, β = 90.00° and γ = 90.00°. The inequivalent atoms are Cs at (0.000, 0.500, 0.250), Li at (0.000, 0.000, 0.000), P at (0.000, 0.000, 0.500), Cl at (0.000, 0.000, 0.263) and Cl at (0.238, 0.238, 0.500).

As for the total energy: -0.124 Ha/atom. The calculation puts the magnetic moment at 0.000 μB per cell. As for the crystal system: tetragonal. The volume comes out at 27.456 Å³ per atom. The value obtained for the uncorrected formation energy is -13.56 eV per formula unit.

=====

CsLiP2Cl | PBE | relaxed

It has space group P4/mmm (No. 123), with a = 6.152 Å, b = 6.152 Å, c = 6.383 Å, α = 90.00°, β = 90.00° and γ = 90.00°. The inequivalent atoms are Cs at (0.000, 0.000, 0.000), Li at (0.500, 0.500, 0.500), P at (0.000, 0.500, 0.000) and Cl at (0.000, 0.000, 0.500).

The calculation puts the energy above the most stable polymorph in this dataset at 0.8758 eV per atom. As for the total energy: -0.082 Ha/atom. The calculation puts the magnetic moment at 3.567 μB per cell. As for the crystal system: tetragonal. The volume comes out at 48.315 Å³ per atom. The value obtained for the uncorrected formation energy is 4.33 eV per formula unit.

=====

Cs2Li3PaCl12 | PBE | relaxed

It has space group R-3m (No. 166, hexagonal axes), with a = 7.9500 Å, b = 7.9500 Å, c = 35.1574 Å, α = 90.00°, β = 90.00° and γ = 120.00°. The inequivalent atoms are Cs at (0.0000, 0.0000, 0.0958), Li at (0.0000, 0.5000, 0.0000), Pa at (0.0000, 0.0000, 0.5000), Cl at (0.0275, 0.5138, 0.1251) and Cl at (0.0487, 0.5243, 0.3631).

As for the total energy: -0.137 Ha/atom. The calculation puts the magnetic moment at 6.096 μB per cell. As for the crystal system: trigonal. The volume comes out at 35.636 Å³ per atom. The value obtained for the uncorrected formation energy is -28.22 eV per formula unit.

=====

Number 1: calculated density 3.1 g cm⁻³. Number 2: calculated density 1.6 g cm⁻³. Number 3: calculated density 2.4 g cm⁻³.